[1]
! AlSiP | the Alexandria database | PBE | relaxed; values from VASP
&SYSTEM
  ibrav = 0, nat = 6, ntyp = 3
/
ATOMIC_SPECIES
P 30.97 P.upf
Al 26.98 Al.upf
Si 28.09 Si.upf
ATOMIC_POSITIONS crystal
P 0.500 0.000 0.671
P 0.000 0.500 0.329
Al 0.000 0.000 0.000
Al 0.500 0.500 0.000
Si 0.000 0.500 0.668
Si 0.500 0.000 0.332
CELL_PARAMETERS angstrom
-0.256 -1.669 3.278
0.105 -3.288 -1.666
7.078 -0.043 0.531
! Magnetic moment: 0.000 μB/f.u.
! Polymorph energy (0 for the lowest one): 626 meV per atom

[2]
! Al2SiP | the Alexandria database | PBE | relaxed; values from VASP
&SYSTEM
  ibrav = 0, nat = 4, ntyp = 3
/
ATOMIC_SPECIES
Si 28.09 Si.upf
Al 26.98 Al.upf
P 30.97 P.upf
ATOMIC_POSITIONS crystal
Si 0.500 0.500 0.750
Al 0.000 0.000 0.008
Al 0.000 0.000 0.492
P 0.500 0.500 0.250
CELL_PARAMETERS angstrom
-2.036 2.547 0.763
-1.093 -1.474 2.006
4.638 2.419 4.305
! Magnetic moment: 0.000 μB/f.u.
! Polymorph energy (0 for the lowest one): 200 meV per atom

[3]
! AlSi2P | the Alexandria database | PBE | relaxed; values from VASP
&SYSTEM
  ibrav = 0, nat = 8, ntyp = 3
/
ATOMIC_SPECIES
Si 28.09 Si.upf
Al 26.98 Al.upf
P 30.97 P.upf
ATOMIC_POSITIONS crystal
Si 0.667 0.333 0.937
Si 0.333 0.667 0.063
Si 0.333 0.667 0.685
Si 0.667 0.333 0.315
Al 0.667 0.333 0.565
Al 0.333 0.667 0.435
P 0.000 0.000 0.816
P 0.000 0.000 0.184
CELL_PARAMETERS angstrom
-0.158 3.458 -1.459
-2.478 -2.609 -1.079
-6.771 3.094 8.068
! Magnetic moment: 0.000 μB/f.u.
! Polymorph energy (0 for the lowest one): 273 meV per atom